YCrSe2 | PBE-GGA | relaxed

Output
N(E_F) in states/eV/atom: 0.897
Energy above the lowest structure with this stoichiometry in meV per atom: 38.0
Magnetization in Bohr magnetons per cell: 4.41
Energy in eV/atom: -6.78
Theoretical density in g/cm³: 5.52
E_form (uncorrected) in eV per atom: -1.013

abc: 4.081 4.081 6.666
angles: 72.06 72.06 60.01
Each line ends with the local moment (μB).
Element x y z (fractional)
Se (0.994, 0.994, 0.018)  0.01
Cr (0.250, 0.250, 0.250)  3.88
Y (0.750, 0.750, 0.750)  0.04
Se (0.506, 0.506, 0.482)  0.01

---

LiReTc2 | PBE-GGA | relaxed

Output
N(E_F) in states/eV/atom: 0.861
Energy above the lowest structure with this stoichiometry in meV per atom: 72.4
Magnetization in Bohr magnetons per cell: 0.00
ΔH_f (0 K) in eV/atom: 0.20
Energy in eV/atom: -8.57
Theoretical density in g/cm³: 11.48

abc: 5.054 5.054 5.054
angles: 145.16 129.53 62.79
Element x y z (fractional)
Tc (0.243, 0.743, 0.500)
Re (0.758, 0.258, 0.500)
Tc (0.999, 0.999, 0.000)
Li (0.500, 0.500, 0.000)

---

La4PRhSe2 | PBE-GGA | relaxed

Output
N(E_F) in states/eV/atom: 0.831
Magnetization in Bohr magnetons per cell: 0.00
Energy in eV/atom: -6.49
Theoretical density in g/cm³: 6.26
E_form (uncorrected) in eV per atom: -1.559

abc: 4.232 7.434 7.517
angles: 108.15 90.00 90.00
Element x y z (fractional)
P (0.500, 0.500, 0.000)
Se (0.000, 0.500, 0.500)
La (0.500, 0.244, 0.232)
La (0.000, 0.749, 0.229)
La (0.000, 0.251, 0.771)
Se (0.500, 0.000, 0.500)
La (0.500, 0.756, 0.768)
Rh (0.000, 0.000, 0.000)

---

RbPaAs2O8 | PBE-GGA | relaxed

Output
N(E_F) in states/eV/atom: 0.000
Magnetization in Bohr magnetons per cell: 0.00
Energy in eV/atom: -7.00
Theoretical density in g/cm³: 4.02
E_form (uncorrected) in eV per atom: -2.048

abc: 5.756 5.756 8.561
angles: 90.00 90.00 120.00
Element x y z (fractional)
O (0.347, 0.174, 0.151)
O (0.826, 0.174, 0.151)
Rb (0.000, 0.000, 0.500)
O (0.826, 0.653, 0.151)
As (0.333, 0.667, 0.766)
O (0.174, 0.347, 0.849)
O (0.667, 0.333, 0.427)
O (0.653, 0.826, 0.849)
As (0.667, 0.333, 0.234)
O (0.174, 0.826, 0.849)
O (0.333, 0.667, 0.573)
Pa (0.000, 0.000, 0.000)

---

PrBe2Pt2 | PBE-GGA | relaxed

Output
N(E_F) in states/eV/atom: 0.529
Energy above the lowest structure with this stoichiometry in meV per atom: 34.7
Magnetization in Bohr magnetons per cell: 0.00
ΔH_f (0 K) in eV/atom: -0.80
Energy in eV/atom: -5.67
Theoretical density in g/cm³: 10.96

abc: 4.123 4.123 9.865
angles: 90.00 90.00 97.01
Element x y z (fractional)
Be (0.250, 0.750, 0.500)
Pr (0.250, 0.250, 0.750)
Pt (0.750, 0.750, 0.893)
Be (0.750, 0.250, 0.500)
Pt (0.750, 0.750, 0.607)
Pr (0.750, 0.750, 0.250)
Pt (0.250, 0.250, 0.107)
Be (0.250, 0.750, 0.000)
Pt (0.250, 0.250, 0.393)
Be (0.750, 0.250, 0.000)

---

ScReAs2 | PBE-GGA | relaxed

Output
N(E_F) in states/eV/atom: 0.938
Energy above the lowest structure with this stoichiometry in meV per atom: 394.5
Magnetization in Bohr magnetons per cell: 0.00
ΔH_f (0 K) in eV/atom: -0.06
Energy in eV/atom: -7.08
Theoretical density in g/cm³: 8.78

abc: 8.016 8.016 8.016
angles: 23.52 23.52 23.52
Element x y z (fractional)
Re (0.250, 0.250, 0.250)
As (0.509, 0.509, 0.509)
Sc (0.750, 0.750, 0.750)
As (0.991, 0.991, 0.991)

---

PmLuO | PBE-GGA | relaxed

Output
N(E_F) in states/eV/atom: 0.623
Magnetization in Bohr magnetons per cell: 0.04
Energy in eV/atom: -6.52
Theoretical density in g/cm³: 8.88
E_form (uncorrected) in eV per atom: -1.775

abc: 3.495 3.495 5.939
angles: 90.00 90.00 120.00
Each line ends with the local moment (μB).
Element x y z (fractional)
O (0.667, 0.333, 0.367)  0.00
Pm (0.000, 0.000, 0.082)  -0.10
Lu (0.333, 0.667, 0.551)  0.16

---

Ti2GaNiHg | PBE-GGA | relaxed

Output
N(E_F) in states/eV/atom: 1.107
Energy above the lowest structure with this stoichiometry in meV per atom: 0.0
Magnetization in Bohr magnetons per cell: 0.00
ΔH_f (0 K) in eV/atom: 0.13
Energy in eV/atom: -4.85
Theoretical density in g/cm³: 7.55

abc: 4.586 4.441 4.586
angles: 90.00 90.00 90.00
Element x y z (fractional)
Hg (0.500, 0.500, 0.500)
Ti (0.000, 0.000, 0.500)
Ni (0.000, 0.000, 0.000)
Ti (0.500, 0.000, 0.000)
Ga (0.000, 0.500, 0.000)

---

CaPbCl | PBE-GGA | relaxed

Output
N(E_F) in states/eV/atom: 0.720
Energy above the lowest structure with this stoichiometry in meV per atom: 124.6
Magnetization in Bohr magnetons per cell: 0.66
Energy in eV/atom: -3.57
Theoretical density in g/cm³: 4.48
E_form (uncorrected) in eV per atom: -1.055

abc: 3.798 3.798 8.390
angles: 90.00 90.00 120.00
Each line ends with the local moment (μB).
Element x y z (fractional)
Pb (0.333, 0.667, 0.717)  0.16
Ca (0.000, 0.000, 0.047)  0.07
Cl (0.667, 0.333, 0.235)  0.00

---

Pm2NdSmTh | PBE-GGA | relaxed

Output
N(E_F) in states/eV/atom: 1.720
Magnetization in Bohr magnetons per cell: 0.00
ΔH_f (0 K) in eV/atom: 0.06
Energy in eV/atom: -5.23
Theoretical density in g/cm³: 7.87

abc: 5.917 9.697 6.354
angles: 109.03 90.00 90.00
Element x y z (fractional)
Pm (0.250, 0.291, 0.064)
Nd (0.750, 0.301, 0.730)
Pm (0.750, 0.709, 0.936)
Pm (0.750, 0.903, 0.551)
Sm (0.250, 0.511, 0.672)
Th (0.750, 0.096, 0.123)
Th (0.250, 0.904, 0.877)
Nd (0.250, 0.699, 0.270)
Sm (0.750, 0.489, 0.328)
Pm (0.250, 0.097, 0.449)

---

GeTePd5 | PBE-GGA | relaxed

Output
N(E_F) in states/eV/atom: 0.566
Magnetization in Bohr magnetons per cell: 0.00
Energy in eV/atom: -4.90
Theoretical density in g/cm³: 7.98
E_form (uncorrected) in eV per atom: -0.084

abc: 7.153 7.153 8.996
angles: 54.69 54.69 66.36
Element x y z (fractional)
Ge (0.489, 0.511, 0.250)
Pd (0.171, 0.829, 0.750)
Pd (0.159, 0.383, 0.846)
Pd (0.841, 0.617, 0.154)
Pd (0.383, 0.159, 0.346)
Pd (0.617, 0.841, 0.654)
Pd (0.829, 0.171, 0.250)
Pd (0.608, 0.284, 0.566)
Pd (0.392, 0.716, 0.434)
Pd (0.716, 0.392, 0.934)
Ge (0.511, 0.489, 0.750)
Te (0.000, 0.000, 0.500)
Pd (0.284, 0.608, 0.066)
Te (0.000, 0.000, 0.000)

---

CaCo2Br | PBE-GGA | relaxed

Output
N(E_F) in states/eV/atom: 1.643
Energy above the lowest structure with this stoichiometry in meV per atom: 660.7
Magnetization in Bohr magnetons per cell: 3.05
Energy in eV/atom: -3.98
Theoretical density in g/cm³: 5.32
E_form (uncorrected) in eV per atom: 0.488

abc: 4.834 4.834 4.834
angles: 124.21 124.21 82.85
Each line ends with the local moment (μB).
Element x y z (fractional)
Co (0.000, 0.000, 0.000)  1.64
Co (0.250, 0.750, 0.500)  1.66
Br (0.500, 0.500, 0.000)  0.04
Ca (0.750, 0.250, 0.500)  -0.06

---

TbTaCo4 | PBE-GGA | relaxed

Output
N(E_F) in states/eV/atom: 1.328
Magnetization in Bohr magnetons per cell: 2.12
ΔH_f (0 K) in eV/atom: -0.08
Energy in eV/atom: -7.56
Theoretical density in g/cm³: 11.47

abc: 4.902 4.902 4.902
angles: 60.00 60.00 60.00
Each line ends with the local moment (μB).
Element x y z (fractional)
Co (0.126, 0.625, 0.625)  0.67
Co (0.625, 0.625, 0.126)  0.67
Co (0.625, 0.126, 0.625)  0.67
Co (0.625, 0.625, 0.625)  0.67
Ta (0.250, 0.250, 0.250)  -0.27
Tb (0.000, 0.000, 0.000)  -0.16

---

UHgSb2 | PBE-GGA | relaxed

Output
N(E_F) in states/eV/atom: 1.357
Energy above the lowest structure with this stoichiometry in meV per atom: 200.4
Magnetization in Bohr magnetons per cell: 2.04
Energy in eV/atom: -4.92
Theoretical density in g/cm³: 10.43
E_form (uncorrected) in eV per atom: 0.040

abc: 3.188 3.188 12.479
angles: 82.66 82.66 60.00
Each line ends with the local moment (μB).
Element x y z (fractional)
Sb (0.907, 0.907, 0.278)  -0.02
Hg (0.000, 0.000, 0.000)  0.03
U (0.500, 0.500, 0.500)  1.91
Sb (0.093, 0.093, 0.722)  -0.02

---

NiGe3Te | PBE-GGA | relaxed

Output
N(E_F) in states/eV/atom: 0.577
Energy above the lowest structure with this stoichiometry in meV per atom: 0.0
Magnetization in Bohr magnetons per cell: 0.00
Energy in eV/atom: -4.44
Theoretical density in g/cm³: 6.44
E_form (uncorrected) in eV per atom: 0.111

abc: 4.705 4.705 4.705
angles: 90.00 90.00 90.00
Element x y z (fractional)
Te (0.500, 0.500, 0.500)
Ge (0.000, 0.500, 0.000)
Ge (0.000, 0.000, 0.500)
Ni (0.000, 0.000, 0.000)
Ge (0.500, 0.000, 0.000)

---

ThMgCuAg | PBE-GGA | relaxed

Output
N(E_F) in states/eV/atom: 0.880
Magnetization in Bohr magnetons per cell: 0.00
ΔH_f (0 K) in eV/atom: -0.13
Energy in eV/atom: -4.12
Theoretical density in g/cm³: 8.21

abc: 4.964 4.964 4.964
angles: 60.00 60.00 60.00
Element x y z (fractional)
Cu (0.250, 0.250, 0.250)
Mg (0.500, 0.500, 0.500)
Ag (0.750, 0.750, 0.750)
Th (0.000, 0.000, 0.000)

---

AsSeF2 | PBE-GGA | relaxed

Output
N(E_F) in states/eV/atom: 0.462
Energy above the lowest structure with this stoichiometry in meV per atom: 703.7
Magnetization in Bohr magnetons per cell: 0.01
Energy in eV/atom: -3.63
Theoretical density in g/cm³: 4.82
E_form (uncorrected) in eV per atom: -0.658

abc: 8.995 8.995 8.995
angles: 18.82 18.82 18.82
Element x y z (fractional)
F (0.928, 0.928, 0.928)
Se (0.000, 0.000, 0.000)
As (0.500, 0.500, 0.500)
F (0.072, 0.072, 0.072)

---

Ta3IrN | PBE-GGA | relaxed

Output
N(E_F) in states/eV/atom: 0.532
Magnetization in Bohr magnetons per cell: 0.00
Energy in eV/atom: -11.19
Theoretical density in g/cm³: 16.65
E_form (uncorrected) in eV per atom: -0.641

abc: 4.211 4.211 4.211
angles: 90.00 90.00 90.00
Element x y z (fractional)
Ir (0.500, 0.500, 0.500)
Ta (0.500, 0.000, 0.000)
Ta (0.000, 0.000, 0.500)
N (0.000, 0.000, 0.000)
Ta (0.000, 0.500, 0.000)

---

CaZr2 | PBE-GGA | relaxed

Output
N(E_F) in states/eV/atom: 1.458
Energy above the lowest structure with this stoichiometry in meV per atom: 183.7
Magnetization in Bohr magnetons per cell: 0.00
ΔH_f (0 K) in eV/atom: 0.34
Energy in eV/atom: -6.03
Theoretical density in g/cm³: 4.42

abc: 6.183 6.183 6.183
angles: 60.00 60.00 60.00
Element x y z (fractional)
Zr (0.125, 0.625, 0.125)
Zr (0.125, 0.125, 0.125)
Zr (0.625, 0.125, 0.125)
Ca (0.500, 0.500, 0.500)
Zr (0.125, 0.125, 0.625)
Ca (0.750, 0.750, 0.750)

---

CeS8Cl2 | PBE-GGA | relaxed

Output
N(E_F) in states/eV/atom: 0.590
Magnetization in Bohr magnetons per cell: 0.14
Energy in eV/atom: -4.28
Theoretical density in g/cm³: 2.36
E_form (uncorrected) in eV per atom: -0.403

abc: 11.809 7.648 7.648
angles: 65.44 135.79 135.79
Each line ends with the local moment (μB).
Element x y z (fractional)
S (0.345, 0.402, 0.402)  -0.03
S (0.119, 0.732, 0.732)  0.00
Cl (0.671, 0.873, 0.873)  -0.01
Cl (0.329, 0.127, 0.127)  -0.01
S (0.065, 0.179, 0.575)  0.00
S (0.655, 0.598, 0.598)  -0.03
S (0.881, 0.268, 0.268)  0.00
S (0.935, 0.425, 0.821)  0.00
S (0.065, 0.575, 0.179)  0.00
Ce (0.000, 0.000, 0.000)  0.25
S (0.935, 0.821, 0.425)  0.00